12
Lattice="5.9668 0.1456 0.9065 1.4664 5.0575 2.9486 0.1010 0.0542 6.0331" Properties=species:S:1:pos:R:3 comment="Tb6N5O PBE-GGA relaxed" spacegroup="No. 12" e_form_raw_ev_per_atom=-1.932 pbc="T T T"
Tb 4.6214 0.5519 2.9665
Tb 2.3841 2.9773 3.9727
Tb 1.8890 1.3206 0.9788
Tb 5.5441 3.8825 2.8763
Tb 5.1500 2.2801 5.9155
Tb 2.9127 4.7055 6.9218
O 0.0000 0.0000 0.0000
N 3.2962 0.9565 4.9583
N 0.5224 1.7039 2.9940
N 3.7166 2.6016 1.9276
N 1.0449 3.4079 5.9877
N 4.2378 4.3009 4.9299

***

8
Lattice="4.9177 0.0000 0.0000 0.0000 4.9177 0.0000 0.0000 0.0000 4.9177" Properties=species:S:1:pos:R:3 comment="Tb4N3O PBE-GGA relaxed" spacegroup="No. 221" e_form_raw_ev_per_atom=-2.018 pbc="T T T"
Tb 2.4588 0.0000 0.0000
Tb 0.0000 2.4588 0.0000
Tb 0.0000 0.0000 2.4588
Tb 2.4588 2.4588 2.4588
N 0.0000 2.4588 2.4588
N 2.4588 0.0000 2.4588
N 2.4588 2.4588 0.0000
O 0.0000 0.0000 0.0000

***

10
Lattice="6.8305 0.0000 0.0000 3.4152 5.9154 0.0000 3.4152 1.9718 5.5771" Properties=species:S:1:pos:R:3 comment="Tb6Tl2NO PBE-GGA relaxed" spacegroup="No. 225" e_form_raw_ev_per_atom=-1.164 pbc="T T T"
Tb 6.8305 5.9354 4.1970
Tb 5.1055 4.9395 1.3801
Tb 5.1055 2.9477 4.1970
Tb 8.5555 4.9395 1.3801
Tb 6.8305 1.9517 1.3801
Tb 8.5555 2.9477 4.1970
Tl 10.2457 5.9154 4.1828
Tl 3.4152 1.9718 1.3943
N 0.0000 0.0000 0.0000
O 6.8305 3.9436 2.7885

***

6
Lattice="3.8236 0.0489 0.0091 -0.7166 4.0701 -0.0014 -1.4439 -1.9942 4.5059" Properties=species:S:1:pos:R:3 comment="TcNO PBE-GGA relaxed" e_above_lowest_polymorph_mev_per_atom=134 spacegroup="No. 1" e_form_raw_ev_per_atom=-0.423 pbc="T T T"
Tc 0.7912 0.1691 3.9932
Tc 2.2617 2.1667 2.1002
N 2.3955 0.6891 0.8010
N 2.0554 3.5776 0.7925
O 0.3755 1.8537 2.6252
O -1.0826 -0.2410 3.4757

***

12
Lattice="-1.7050 1.2531 -4.3269 -1.8381 -2.5410 -0.0116 -6.0962 4.3824 6.0348" Properties=species:S:1:pos:R:3 comment="TcNO PBE-GGA relaxed" e_above_lowest_polymorph_mev_per_atom=25 spacegroup="No. 12" e_form_raw_ev_per_atom=-0.531 pbc="T T T"
Tc -5.7147 4.1118 4.8547
Tc -2.0865 1.5237 -3.1468
Tc -3.5857 0.6501 1.8315
Tc -6.0537 2.4444 -0.1352
N -4.8197 1.5472 0.8482
N -0.8525 0.6266 -2.1634
N -0.9191 -1.2705 -0.0058
N -3.0481 2.1912 3.0174
O -5.7771 4.1745 1.0026
O -2.0242 1.4610 0.7054
O -3.6481 0.7128 -2.0206
O -5.9913 2.3817 3.7170

***

12
Lattice="5.1413 0.0000 -0.0046 0.0000 2.8531 0.0000 -0.5132 0.0000 8.3022" Properties=species:S:1:pos:R:3 comment="TcNO PBE-GGA relaxed" e_above_lowest_polymorph_mev_per_atom=2 spacegroup="No. 12" e_form_raw_ev_per_atom=-0.554 pbc="T T T"
Tc 0.9798 0.0000 1.9497
Tc 3.6483 0.0000 6.3479
Tc 0.7232 1.4266 6.1008
Tc 3.9049 1.4266 2.1968
N -0.1218 0.0000 4.8043
N 4.7499 0.0000 3.4933
N 0.1348 1.4266 0.6532
N 4.4933 1.4266 7.6443
O 2.8862 0.0000 1.1496
O 1.7419 0.0000 7.1480
O 2.6296 1.4266 5.3007
O 1.9985 1.4266 2.9969

***

10
Lattice="5.9267 0.0000 0.0000 0.0000 5.9267 0.0000 0.0000 0.0000 2.7368" Properties=species:S:1:pos:R:3 comment="Tc2N2O PBE-GGA relaxed" spacegroup="No. 127" e_form_raw_ev_per_atom=0.258 pbc="T T T"
Tc 1.8810 4.8443 0.0000
Tc 4.8443 4.0457 0.0000
Tc 4.0457 1.0824 0.0000
Tc 1.0824 1.8810 0.0000
O 0.0000 0.0000 0.0000
O 2.9634 2.9634 0.0000
N 0.8538 3.8172 1.3684
N 3.8172 5.0729 1.3684
N 5.0729 2.1095 1.3684
N 2.1095 0.8538 1.3684

***

6
Lattice="3.9222 0.0000 0.0000 -0.4176 4.0857 0.0000 -1.4089 -1.2658 4.5044" Properties=species:S:1:pos:R:3 comment="TcNO PBE-GGA relaxed" e_above_lowest_polymorph_mev_per_atom=85 spacegroup="No. 2" e_form_raw_ev_per_atom=-0.471 pbc="T T T"
Tc 2.2956 0.8627 3.1340
Tc -0.1998 1.9571 1.3704
N 3.8217 0.6163 0.0023
N -1.7259 2.2035 4.5022
O 1.7778 2.3643 1.7818
O 0.3180 0.4555 2.7226

***

5
Lattice="-1.9940 2.6225 0.7094 -2.7082 -1.9885 -0.2609 -2.0483 -0.7006 4.8371" Properties=species:S:1:pos:R:3 comment="Tc2N2O PBE-GGA relaxed" spacegroup="No. 139" e_form_raw_ev_per_atom=0.309 pbc="T T T"
Tc -2.2681 0.0381 1.4886
Tc -4.4823 -0.1047 3.7969
O 0.0000 0.0000 0.0000
N -3.1967 1.1194 2.8853
N -3.5538 -1.1861 2.4002

***

11
Lattice="5.9012 0.5433 -0.8038 0.1258 7.5584 0.1060 0.2045 0.5433 5.9521" Properties=species:S:1:pos:R:3 comment="Tc2N2O7 PBE-GGA relaxed" spacegroup="No. 12" e_form_raw_ev_per_atom=-1.011 pbc="T T T"
Tc 4.7399 5.0397 3.9967
Tc 1.4915 3.6054 1.2577
N 5.5420 0.5433 -0.3779
N 0.5636 0.5433 5.5262
O 0.9798 2.7445 2.6442
O 3.4597 5.9006 4.7353
O 5.2516 5.9006 2.6102
O 2.7717 2.7445 0.5191
O 0.0629 3.7792 0.0530
O 2.0629 5.1402 1.7395
O 4.1685 3.5049 3.5149

***

12
Lattice="-0.6230 -3.8263 -0.9348 6.1362 -1.2783 1.1426 -1.3959 -1.2599 6.0874" Properties=species:S:1:pos:R:3 comment="TcNO PBE-GGA relaxed" e_above_lowest_polymorph_mev_per_atom=266 spacegroup="No. 131" e_form_raw_ev_per_atom=-0.290 pbc="T T T"
Tc 1.9658 -1.6340 5.3781
Tc 0.2814 -2.8120 2.8166
Tc 3.8359 -3.5525 3.4785
Tc 2.7744 -0.9042 1.8519
O 3.6216 -1.5298 3.8480
O 1.7739 -3.4392 4.3891
O 2.3433 -2.9253 1.9060
O 1.1186 -1.0084 3.3820
N 4.2835 -0.8923 0.7976
N -1.2860 -2.7927 3.7820
N -0.7330 -2.2936 1.3706
N 1.8527 -0.3860 0.3450

***

6
Lattice="3.8136 0.0000 0.0000 0.0000 3.4357 0.0000 0.0000 0.0000 5.6253" Properties=species:S:1:pos:R:3 comment="TcNO PBE-GGA relaxed" e_above_lowest_polymorph_mev_per_atom=38 spacegroup="No. 38" e_form_raw_ev_per_atom=-0.518 pbc="T T T"
Tc 1.9068 0.0000 4.6907
Tc 1.9068 1.7178 1.8780
N 1.9068 0.0000 0.9866
N 1.9068 1.7178 3.7992
O 0.0000 0.0000 4.6616
O 0.0000 1.7178 1.8490

***

5
Lattice="3.8736 0.0000 0.0000 0.0000 3.8736 0.0000 0.0000 0.0000 3.8736" Properties=species:S:1:pos:R:3 comment="TcN3O PBE-GGA relaxed" spacegroup="No. 221" e_form_raw_ev_per_atom=1.593 pbc="T T T"
Tc 0.0000 0.0000 0.0000
O 1.9368 1.9368 1.9368
N 0.0000 1.9368 0.0000
N 0.0000 0.0000 1.9368
N 1.9368 0.0000 0.0000

***

5
Lattice="-2.2665 0.3139 -2.5684 -2.5834 -0.0825 2.2697 0.1455 3.4245 0.2901" Properties=species:S:1:pos:R:3 comment="TcN3O PBE-GGA relaxed" spacegroup="No. 221" e_form_raw_ev_per_atom=2.371 pbc="T T T"
Tc -2.3522 1.8279 -0.0043
O 0.0000 0.0000 0.0000
N -1.2917 -0.0413 1.1349
N 0.0728 1.7122 0.1451
N -1.1333 0.1570 -1.2842

***

5
Lattice="-0.1055 -3.4388 1.7409 3.6254 0.5028 1.2128 0.6663 -0.0723 4.1673" Properties=species:S:1:pos:R:3 comment="Tc2N2O PBE-GGA relaxed" spacegroup="No. 139" e_form_raw_ev_per_atom=0.273 pbc="T T T"
Tc 1.1604 -2.4895 3.6926
Tc 3.0258 -0.5187 3.4285
O 0.0000 0.0000 0.0000
N 1.5258 -1.1692 2.0529
N 2.6604 -1.8391 5.0681

***

12
Lattice="-0.0437 -2.4973 -3.1952 3.1810 -2.0503 1.5590 -4.6970 -3.2886 5.2589" Properties=species:S:1:pos:R:3 comment="TcNO PBE-GGA relaxed" e_above_lowest_polymorph_mev_per_atom=218 spacegroup="No. 12" e_form_raw_ev_per_atom=-0.338 pbc="T T T"
Tc -2.9785 -3.0150 2.1121
Tc -1.7622 -2.7709 -0.0484
Tc 0.9605 -2.3959 0.2622
Tc -2.5203 -5.4403 3.3605
N -4.3918 -4.4712 3.0808
N -0.3489 -1.3147 -1.0171
N -0.4528 -3.8520 1.2308
N -1.1070 -3.9842 2.3919
O -1.7631 -1.5445 1.5662
O -2.9776 -4.2414 0.4975
O -2.5211 -4.2139 4.9751
O 0.9614 -3.6223 -1.3524

***

6
Lattice="-0.5601 1.8501 2.0503 -0.3207 -3.6032 3.1637 4.8053 0.3406 0.8750" Properties=species:S:1:pos:R:3 comment="TcNO PBE-GGA relaxed" e_above_lowest_polymorph_mev_per_atom=0 spacegroup="No. 7" e_form_raw_ev_per_atom=-0.556 pbc="T T T"
Tc 2.8895 0.2620 2.3070
Tc 0.0369 -0.8927 4.5713
N 1.3576 -2.6285 4.2817
N 3.7866 1.9099 2.7212
O 4.3771 -0.7404 3.4341
O 1.7106 0.1958 3.8625

***

5
Lattice="-2.9856 3.3359 1.5043 -2.1271 -0.0023 -4.2166 -2.2519 -2.5283 1.1374" Properties=species:S:1:pos:R:3 comment="TcTe2NO PBE-GGA relaxed" e_above_lowest_polymorph_mev_per_atom=618 spacegroup="No. 123" e_form_raw_ev_per_atom=1.264 pbc="T T T"
Te -1.0636 -0.0012 -2.1083
Te -1.4928 1.6679 0.7521
Tc -3.6823 0.4027 -0.7875
O 0.0000 0.0000 0.0000
N -1.1259 -1.2641 0.5687

***

5
Lattice="3.9138 0.0000 0.0000 0.0000 3.9138 0.0000 0.0000 0.0000 4.1313" Properties=species:S:1:pos:R:3 comment="TcTeNO2 PBE-GGA relaxed" spacegroup="No. 123" e_form_raw_ev_per_atom=-0.020 pbc="T T T"
Te 1.9569 1.9569 2.0656
Tc 0.0000 0.0000 0.0000
O 0.0000 1.9569 0.0000
O 1.9569 0.0000 0.0000
N 0.0000 0.0000 2.0656

***

5
Lattice="-3.2368 -0.0933 -4.1305 -3.4697 -2.7873 2.7819 -1.5684 3.1090 1.1588" Properties=species:S:1:pos:R:3 comment="TcTe2NO PBE-GGA relaxed" e_above_lowest_polymorph_mev_per_atom=0 spacegroup="No. 123" e_form_raw_ev_per_atom=0.646 pbc="T T T"
Te -1.7348 -1.3936 1.3909
Te -1.6184 -0.0466 -2.0653
Tc 0.0000 0.0000 0.0000
O -4.1374 0.1142 -0.0949
N -0.7842 1.5545 0.5794

***

| no. | total magnetic moment (μB/f.u.) |
| --- | --- |
| 1 | 0.00 |
| 2 | 0.00 |
| 3 | 0.00 |
| 4 | 0.00 |
| 5 | 0.00 |
| 6 | 0.00 |
| 7 | 0.00 |
| 8 | 0.00 |
| 9 | 0.00 |
| 10 | 0.15 |
| 11 | 0.00 |
| 12 | 0.00 |
| 13 | 4.13 |
| 14 | 0.00 |
| 15 | 0.00 |
| 16 | 0.00 |
| 17 | 0.00 |
| 18 | 0.81 |
| 19 | 1.36 |
| 20 | 0.51 |